Entry P
PBE LaPr7Y4, relaxed; volume = 421 Å³/cell; D(E_F) = 18.443 states/eV/cell; SG = P-1
1.0
6.419 0.000 0.000
0.008 7.397 0.000
2.133 0.002 8.872
La Pr Y
1 7 4
direct
0.000 0.000 0.000 La
0.000 0.500 0.000 Pr
0.223 0.001 0.335 Pr
0.280 0.251 0.664 Pr
0.498 0.254 0.001 Pr
0.502 0.746 0.999 Pr
0.720 0.749 0.336 Pr
0.777 0.999 0.665 Pr
0.218 0.500 0.335 Y
0.278 0.744 0.666 Y
0.722 0.256 0.334 Y
0.782 0.500 0.665 Y

***

Entry Q
PBE LaPr7Y4, relaxed; volume = 429 Å³/cell; D(E_F) = 18.259 states/eV/cell; SG = C2/m
1.0
6.122 -3.063 0.000
6.122 3.063 0.000
-6.062 0.000 11.453
La Pr Y
1 7 4
direct
0.000 0.000 0.000 La
0.058 0.058 0.330 Pr
0.208 0.208 0.920 Pr
0.369 0.369 0.497 Pr
0.500 0.500 0.000 Pr
0.631 0.631 0.503 Pr
0.792 0.792 0.080 Pr
0.942 0.942 0.670 Pr
0.254 0.254 0.685 Y
0.364 0.364 0.225 Y
0.636 0.636 0.775 Y
0.746 0.746 0.315 Y

***

Stability comparison, relative energies in kJ/mol of atoms: entry P 0.0; entry Q 21.1